(1)
VASP calculation (GGA-PBE) on a relaxed structure of Li3Cu.

Properties
The total energy comes out at -2.42 eV per atom. As for the energy relative to the elements: 36 meV per atom.

a = 2.787 Å, b = 2.787 Å, c = 9.238 Å
α = 90.00°, β = 90.00°, γ = 120.00°
Atoms (fractional coordinates):
Cu 0.000 0.000 0.000
Li 0.667 0.333 0.223
Li 0.667 0.333 0.777
Li 0.000 0.000 0.500

=====

(2)
VASP calculation (GGA-PBE) on a relaxed structure of Zn3InOs.

Properties
As for the energy above the most stable polymorph in this dataset: 0 meV per atom. The total energy comes out at -3.02 eV per atom. As for the energy relative to the elements: 536 meV per atom.

a = 4.859 Å, b = 4.859 Å, c = 4.859 Å
α = 90.00°, β = 90.00°, γ = 90.00°
Atoms (fractional coordinates):
Zn 0.000 0.000 0.500
Zn 0.000 0.500 0.000
In 0.500 0.500 0.500
Os 0.000 0.000 0.000
Zn 0.500 0.000 0.000